1.
7
Lattice="4.760 0.000 0.000 2.380 4.122 0.000 2.380 1.374 8.799" Properties=species:S:1:pos:R:3 comment="YTm2Tl2Zn2, optimized geometry, DFT PBE-GGA" n_ef_per_ev_fu=4.200 formation_enthalpy_0k_ev_per_atom=-0.137 pbc="T T T"
Y 0.000 0.000 0.000
Tm 2.380 1.374 5.332
Tm 7.140 4.122 3.466
Tl 7.140 4.122 7.031
Tl 2.380 1.374 1.767
Zn 4.760 2.748 2.470
Zn 4.760 2.748 6.329

***

2.
5
Lattice="4.771 0.000 0.000 0.000 4.771 0.000 0.000 0.000 4.771" Properties=species:S:1:pos:R:3 comment="SiTcPd3, optimized geometry, DFT PBE-GGA" de_polymorph_mev_per_atom=874 n_ef_per_ev_fu=5.962 e_form_raw_mev_per_atom=1352 pbc="T T T"
Si 2.385 2.385 2.385
Tc 0.000 0.000 0.000
Pd 0.000 2.385 0.000
Pd 0.000 0.000 2.385
Pd 2.385 0.000 0.000

***

3.
3
Lattice="3.771 0.000 0.000 0.000 3.771 0.000 -1.885 -1.885 6.768" Properties=species:S:1:pos:R:3 comment="SrSmZn, optimized geometry, DFT PBE-GGA" de_polymorph_mev_per_atom=0 n_ef_per_ev_fu=3.161 formation_enthalpy_0k_ev_per_atom=-0.122 pbc="T T T"
Sr 0.000 0.000 0.321
Zn 1.885 1.885 2.455
Sm 0.000 0.000 3.992

***

4.
12
Lattice="-1.102 -0.708 -4.053 0.696 -7.349 1.095 -8.438 -0.445 2.372" Properties=species:S:1:pos:R:3 comment="YTm3Ru2, optimized geometry, DFT PBE-GGA" n_ef_per_ev_fu=1.842 formation_enthalpy_0k_ev_per_atom=-0.394 pbc="T T T"
Y -5.102 -4.441 -0.074
Y -4.061 -0.693 -1.012
Tm -7.411 -3.928 2.702
Tm -0.013 -7.231 1.267
Tm -1.633 -5.197 -0.886
Tm -7.353 -1.805 0.077
Tm -2.407 -2.731 1.132
Tm -5.192 -6.571 2.560
Ru -7.374 -6.317 0.871
Ru -1.458 -2.312 -1.437
Ru -5.169 -2.055 1.765
Ru -2.585 -5.611 1.684

***

5.
6
Lattice="-0.941 -0.987 2.776 2.171 -2.203 -0.047 6.043 5.867 4.134" Properties=species:S:1:pos:R:3 comment="Mn2Nb3V, optimized geometry, DFT PBE-GGA" n_ef_per_ev_fu=3.524 formation_enthalpy_0k_ev_per_atom=-0.079 pbc="T T T"
Mn 5.677 3.320 4.827
Mn 1.595 -0.643 2.035
Nb 0.000 0.000 0.000
Nb 4.070 3.952 2.785
Nb 1.972 1.915 1.349
V 3.636 1.338 3.431

***

6.
18
Lattice="7.266 0.000 0.000 0.000 7.179 0.000 -3.633 -3.590 7.733" Properties=species:S:1:pos:R:3 comment="Pm2Tl2Pd5, optimized geometry, DFT PBE-GGA" n_ef_per_ev_fu=5.183 formation_enthalpy_0k_ev_per_atom=-0.438 pbc="T T T"
Pm -0.525 3.926 1.824
Pm 4.158 0.337 5.908
Pm 4.158 0.337 1.824
Pm -0.525 3.926 5.908
Tl 0.000 6.712 0.000
Tl 3.633 3.122 0.000
Tl 0.221 1.355 3.866
Tl 3.412 4.945 3.866
Pd 2.315 5.423 0.234
Pd 1.318 1.833 7.499
Pd 1.318 1.833 0.234
Pd 2.315 -1.756 7.499
Pd 1.230 -0.870 2.524
Pd 2.403 2.720 5.208
Pd 2.403 2.720 2.524
Pd 1.230 -0.870 5.208
Pd 4.950 2.514 3.866
Pd -1.317 -1.075 3.866

***

7.
4
Lattice="5.172 0.000 0.000 2.586 4.479 0.000 2.586 1.493 4.223" Properties=species:S:1:pos:R:3 comment="AcPuAgOs, optimized geometry, DFT PBE-GGA" n_ef_per_ev_fu=12.296 formation_enthalpy_0k_ev_per_atom=0.151 pbc="T T T"
Ac 5.172 2.986 2.111
Os 7.757 4.479 3.167
Ag 2.586 1.493 1.056
Pu 0.000 0.000 0.000

***

8.
20
Lattice="5.219 -0.046 -0.033 -1.349 5.382 0.055 -1.778 -2.440 7.215" Properties=species:S:1:pos:R:3 comment="Li3CuSbO5, optimized geometry, DFT PBE-GGA" e_form_raw_mev_per_atom=-1587 pbc="T T T"
Li -0.690 3.832 2.678
Li 0.324 -0.398 5.856
Li 1.092 1.325 3.565
Li 1.132 0.442 0.757
Li 1.814 3.264 1.447
Li 2.830 -0.952 4.415
Cu -0.646 2.684 0.031
Cu 0.890 2.567 6.551
Sb -1.620 2.049 5.093
Sb 3.694 0.835 2.131
O -1.235 -1.858 5.958
O -0.779 1.330 6.784
O -0.701 0.498 3.998
O 0.052 2.108 1.753
O 0.014 3.131 4.864
O 2.111 -0.242 2.521
O 2.130 0.694 5.462
O 2.853 2.435 3.233
O 2.895 1.671 0.508
O 3.270 4.731 1.223

***

For the records above, the corresponding density values read 9.294, 6.811, 5.235, 9.499, 8.133, 10.134, 13.058, 4.693 g/cm3.